VASP calculation (PBE with a Hubbard U) on a relaxed VNiPbO4 crystal.

Output
spin magnetization = 1.0 μB/f.u.
raw total energy = -6.045 eV per atom
calculated volume = 16.14 Å³/atom
space group = P2_1/m, No. 11

```
VNiPbO4
1.0
6.0927 0.0000 0.0000
0.0000 6.0300 0.0000
-2.2840 0.0000 6.1488
V Ni Pb O
2 2 2 8
direct
0.2099 0.2500 0.1518
0.7901 0.7500 0.8482
0.2449 0.7500 0.0526
0.7551 0.2500 0.9474
0.2521 0.7500 0.5030
0.7479 0.2500 0.4970
0.9999 0.2500 0.2808
0.0001 0.7500 0.7192
0.0645 0.2500 0.8720
0.4007 0.0205 0.2433
0.4007 0.4795 0.2433
0.5993 0.5205 0.7567
0.5993 0.9795 0.7567
0.9355 0.7500 0.1280
```